# 1
First-principles (PBE) data for a relaxed structure of Pa2BeCo5B2, as listed in Alexandria.

a b c (Å): 8.8049 8.8049 3.1747
angles (deg): 90.00 90.00 90.00
Last column: nearest neighbours and their distance in Å.
Sites, in units of the cell vectors:
Pa: 0.1800 0.3200 0.0000  3 B 2.53-2.67, 10 Co 2.75-2.84
Pa: 0.3200 0.8200 0.0000  3 B 2.53-2.67, 10 Co 2.75-2.84
Pa: 0.6800 0.1800 0.0000  3 B 2.53-2.67, 10 Co 2.75-2.84
Pa: 0.8200 0.6800 0.0000  3 B 2.53-2.67, 10 Co 2.75-2.84
Be: 0.0000 0.0000 0.0000  8 Co 2.59
Be: 0.5000 0.5000 0.0000  8 Co 2.59
Co: 0.0000 0.5000 0.5000  4 B 2.15
Co: 0.0686 0.7772 0.5000  2 B 2.17
Co: 0.2228 0.0686 0.5000  2 B 2.17
Co: 0.2772 0.5686 0.5000  2 B 2.17
Co: 0.4314 0.2772 0.5000  2 B 2.17
Co: 0.5000 0.0000 0.5000  4 B 2.15
Co: 0.5686 0.7228 0.5000  2 B 2.17
Co: 0.7228 0.4314 0.5000  2 B 2.17
Co: 0.7772 0.9314 0.5000  2 B 2.17
Co: 0.9314 0.2228 0.5000  2 B 2.17
B: 0.1165 0.6165 0.0000  6 Co 2.15-2.17
B: 0.3835 0.1165 0.0000  6 Co 2.15-2.17
B: 0.6165 0.8835 0.0000  6 Co 2.15-2.17
B: 0.8835 0.3835 0.0000  6 Co 2.15-2.17

## Properties
SG	No. 127
energy relative to the elements	-0.33	eV/atom


# 2
First-principles (PBE) data for a relaxed structure of Pa2BeCo6B, as listed in Alexandria.

a b c (Å): 5.6452 5.6452 5.6452
angles (deg): 60.00 60.00 60.00
Last column: nearest neighbours and their distance in Å.
Sites, in units of the cell vectors:
Pa: 0.2500 0.2500 0.2500  12 Co 2.82
Pa: 0.7500 0.7500 0.7500  12 Co 2.82
Be: 0.0000 0.0000 0.0000  6 Co 2.05
Co: 0.2565 0.2565 0.7435  1 B 1.94, 1 Be 2.05
Co: 0.2565 0.7435 0.2565  1 B 1.94, 1 Be 2.05
Co: 0.2565 0.7435 0.7435  1 B 1.94, 1 Be 2.05
Co: 0.7435 0.2565 0.2565  1 B 1.94, 1 Be 2.05
Co: 0.7435 0.2565 0.7435  1 B 1.94, 1 Be 2.05
Co: 0.7435 0.7435 0.2565  1 B 1.94, 1 Be 2.05
B: 0.5000 0.5000 0.5000  6 Co 1.94

## Properties
SG	No. 225
energy relative to the elements	-0.32	eV/atom


# 3
First-principles (PBE) data for a relaxed structure of BeCoBPb2, as listed in Alexandria.

a b c (Å): 5.1077 5.1077 3.7879
angles (deg): 90.00 90.00 90.00
Last column: nearest neighbours and their distance in Å.
Sites, in units of the cell vectors:
Be: 0.0000 0.0000 0.0000  8 Pb 3.18
Co: 0.5000 0.5000 0.5000  2 B 1.89
B: 0.5000 0.5000 0.0000  2 Co 1.89
Pb: 0.0000 0.5000 0.5000  2 Co 2.55
Pb: 0.5000 0.0000 0.5000  2 Co 2.55

## Properties
SG	No. 123
energy relative to the elements	0.83	eV/atom


no.,mass density (g/cm³)
1,10.6
2,10.9
3,8.3